DFT (PBE-GGA) results for a relaxed Pr5Sn3Au crystal.

Unit cell a=9.621 b=9.621 c=6.863 alpha=90.00 beta=90.00 gamma=120.00
Positions (direct):
Pr1 0.000 0.269 0.250
Pr2 0.000 0.731 0.750
Pr3 0.269 0.000 0.250
Pr4 0.269 0.269 0.750
Pr5 0.333 0.667 0.000
Pr6 0.333 0.667 0.500
Pr7 0.667 0.333 0.000
Pr8 0.667 0.333 0.500
Pr9 0.731 0.000 0.750
Pr10 0.731 0.731 0.250
Sn1 0.000 0.383 0.750
Sn2 0.000 0.617 0.250
Sn3 0.383 0.000 0.750
Sn4 0.383 0.383 0.250
Sn5 0.617 0.000 0.250
Sn6 0.617 0.617 0.750
Au1 0.000 0.000 0.000
Au2 0.000 0.000 0.500

mass density	7.6	g cm⁻³
N(E_F)	0.899	states/eV/atom
formation energy	-743	meV/atom
magnetization	0.001	μB per cell
space-group type	P6_3/mcm, No. 193